# 1
Tl2CuSb | PBE-GGA | relaxed

Cell lengths 3.5002, 3.5002, 28.4195 Å; angles 90.00, 90.00, 120.00 degrees
Space group R-3m (No. 166, hexagonal axes)
One atom of each set of equivalent atoms:
Tl (0.0000, 0.0000, 0.2362) (multiplicity 6)
Cu (0.0000, 0.0000, 0.5000) (multiplicity 3)
Sb (0.0000, 0.0000, 0.0000) (multiplicity 3)

Values from the calculation:
Uncorrected energy ... -2.96 eV/atom
Formation energy (no corrections) ... 27.08 kJ per mole of atoms
Offset from the most stable computed form ... 24.9 kJ/mol of atoms
DOS at the Fermi energy ... 0.76 states/eV per atom



# 2
Tl4CuSb | PBE-GGA | relaxed

Cell lengths 9.0213, 9.0213, 9.0213 Å; angles 90.00, 90.00, 90.00 degrees
Space group F-43m (No. 216)
One atom of each set of equivalent atoms:
Tl (0.1251, 0.1251, 0.1251) (multiplicity 16)
Cu (0.2500, 0.2500, 0.7500) (multiplicity 4)
Sb (0.0000, 0.0000, 0.5000) (multiplicity 4)

Values from the calculation:
Uncorrected energy ... -2.49 eV/atom
Formation energy (no corrections) ... 43.64 kJ per mole of atoms
DOS at the Fermi energy ... 0.42 states/eV per atom